Entry 1:
DFT (PBE-GGA) results for crystalline ScCrNi2 at its relaxed geometry.

```
data_ScCrNi2
_chemical_formula_sum 'Sc1 Cr1 Ni2'
_symmetry_space_group_name_H-M 'P 4/m m m'
_symmetry_Int_Tables_number 123
_symmetry_space_group_name_Hall '-P 4 2'
_cell_length_a 4.140
_cell_length_b 4.140
_cell_length_c 3.261
_cell_angle_alpha 90.00
_cell_angle_beta 90.00
_cell_angle_gamma 90.00
loop_
_atom_site_label
_atom_site_fract_x
_atom_site_fract_y
_atom_site_fract_z
Sc1 0.000 0.000 0.000
Cr1 0.500 0.500 0.000
Ni1 0.000 0.500 0.500
```

Crystal system: tetragonal
Calculated volume: 14.0 Å³/atom
Total energy: -7.04 eV per atom
Calculated formation energy: -0.159 eV per atom

---

Entry 2:
DFT (PBE-GGA) results for crystalline Sc2CrNi at its relaxed geometry.

```
data_Sc2CrNi
_chemical_formula_sum 'Sc2 Cr1 Ni1'
_symmetry_space_group_name_H-M 'P 4 m m'
_symmetry_Int_Tables_number 99
_symmetry_space_group_name_Hall 'P 4 -2'
_cell_length_a 3.157
_cell_length_b 3.157
_cell_length_c 7.196
_cell_angle_alpha 90.00
_cell_angle_beta 90.00
_cell_angle_gamma 90.00
loop_
_atom_site_label
_atom_site_fract_x
_atom_site_fract_y
_atom_site_fract_z
Sc1 0.000 0.000 0.000
Sc2 0.500 0.500 0.363
Cr1 0.000 0.000 0.609
Ni1 0.500 0.500 0.788
```

Crystal system: tetragonal
Calculated volume: 17.9 Å³/atom
Total energy: -6.94 eV per atom
Calculated formation energy: 0.077 eV per atom

---

Entry 3:
DFT (PBE-GGA) results for crystalline Sc2CrNi at its relaxed geometry.

```
data_Sc2CrNi
_chemical_formula_sum 'Sc8 Cr4 Ni4'
_symmetry_space_group_name_H-M 'F -4 3 m'
_symmetry_Int_Tables_number 216
_symmetry_space_group_name_Hall 'F -4 2 3'
_cell_length_a 6.477
_cell_length_b 6.477
_cell_length_c 6.477
_cell_angle_alpha 90.00
_cell_angle_beta 90.00
_cell_angle_gamma 90.00
loop_
_atom_site_label
_atom_site_fract_x
_atom_site_fract_y
_atom_site_fract_z
Sc1 0.000 0.000 0.000
Sc2 0.250 0.250 0.250
Cr1 0.000 0.000 0.500
Ni1 0.250 0.250 0.750
```

Crystal system: cubic
Calculated volume: 17.0 Å³/atom
Total energy: -6.89 eV per atom
Calculated formation energy: 0.124 eV per atom

---

Entry 4:
DFT (PBE-GGA) results for crystalline Sc2CrNi at its relaxed geometry.

```
data_Sc2CrNi
_chemical_formula_sum 'Sc6 Cr3 Ni3'
_symmetry_space_group_name_H-M 'R -3 m'
_symmetry_Int_Tables_number 166
_symmetry_space_group_name_Hall '-R 3 2"'
_cell_length_a 2.9244
_cell_length_b 2.9244
_cell_length_c 27.3682
_cell_angle_alpha 90.00
_cell_angle_beta 90.00
_cell_angle_gamma 120.00
loop_
_atom_site_label
_atom_site_fract_x
_atom_site_fract_y
_atom_site_fract_z
Sc1 0.0000 0.0000 0.0908
Cr1 0.0000 0.0000 0.0000
Ni1 0.0000 0.0000 0.5000
```

Crystal system: trigonal
Calculated volume: 16.9 Å³/atom
Total energy: -6.50 eV per atom
Calculated formation energy: 0.517 eV per atom

---

Entry 5:
DFT (PBE-GGA) results for crystalline Sc2CrNi at its relaxed geometry.

```
data_Sc2CrNi
_chemical_formula_sum 'Sc4 Cr2 Ni2'
_symmetry_space_group_name_H-M 'C m m m'
_symmetry_Int_Tables_number 65
_symmetry_space_group_name_Hall '-C 2 2'
_cell_length_a 6.461
_cell_length_b 6.469
_cell_length_c 3.255
_cell_angle_alpha 90.00
_cell_angle_beta 90.00
_cell_angle_gamma 90.00
loop_
_atom_site_label
_atom_site_fract_x
_atom_site_fract_y
_atom_site_fract_z
Sc1 0.250 0.250 0.000
Cr1 0.000 0.000 0.500
Ni1 0.000 0.500 0.500
```

Crystal system: orthorhombic
Calculated volume: 17.0 Å³/atom
Total energy: -7.10 eV per atom
Calculated formation energy: -0.083 eV per atom

---

Entry 6:
DFT (PBE-GGA) results for crystalline ScCrSiNi2 at its relaxed geometry.

```
data_ScCrSiNi2
_chemical_formula_sum 'Sc1 Cr1 Si1 Ni2'
_symmetry_space_group_name_H-M 'P 4/m m m'
_symmetry_Int_Tables_number 123
_symmetry_space_group_name_Hall '-P 4 2'
_cell_length_a 4.368
_cell_length_b 4.368
_cell_length_c 4.709
_cell_angle_alpha 90.00
_cell_angle_beta 90.00
_cell_angle_gamma 90.00
loop_
_atom_site_label
_atom_site_fract_x
_atom_site_fract_y
_atom_site_fract_z
Sc1 0.000 0.000 0.000
Cr1 0.000 0.000 0.500
Si1 0.500 0.500 0.500
Ni1 0.000 0.500 0.000
```

Formation energy without anion corrections: 6.631 eV/f.u.
Crystal system: tetragonal
Calculated volume: 18.0 Å³/atom
Total energy: -5.26 eV per atom

---

Entry 7:
DFT (PBE-GGA) results for crystalline ScTi2CrNi at its relaxed geometry.

```
data_ScTi2CrNi
_chemical_formula_sum 'Sc1 Ti2 Cr1 Ni1'
_symmetry_space_group_name_H-M 'P 4/m m m'
_symmetry_Int_Tables_number 123
_symmetry_space_group_name_Hall '-P 4 2'
_cell_length_a 4.548
_cell_length_b 4.548
_cell_length_c 4.837
_cell_angle_alpha 90.00
_cell_angle_beta 90.00
_cell_angle_gamma 90.00
loop_
_atom_site_label
_atom_site_fract_x
_atom_site_fract_y
_atom_site_fract_z
Sc1 0.000 0.000 0.000
Ti1 0.000 0.500 0.500
Cr1 0.500 0.500 0.000
Ni1 0.000 0.000 0.500
```

Crystal system: tetragonal
Calculated volume: 20.0 Å³/atom
Total energy: -7.02 eV per atom
Calculated formation energy: 0.489 eV per atom

---

Entry 8:
DFT (PBE-GGA) results for crystalline Sc2ZnCrNi at its relaxed geometry.

```
data_Sc2ZnCrNi
_chemical_formula_sum 'Sc2 Zn1 Cr1 Ni1'
_symmetry_space_group_name_H-M 'P 4/m m m'
_symmetry_Int_Tables_number 123
_symmetry_space_group_name_Hall '-P 4 2'
_cell_length_a 4.609
_cell_length_b 4.609
_cell_length_c 4.637
_cell_angle_alpha 90.00
_cell_angle_beta 90.00
_cell_angle_gamma 90.00
loop_
_atom_site_label
_atom_site_fract_x
_atom_site_fract_y
_atom_site_fract_z
Sc1 0.000 0.500 0.000
Zn1 0.000 0.000 0.500
Cr1 0.000 0.000 0.000
Ni1 0.500 0.500 0.500
```

Crystal system: tetragonal
Calculated volume: 19.7 Å³/atom
Total energy: -5.14 eV per atom
Calculated formation energy: 0.726 eV per atom

---

Entry 9:
DFT (PBE-GGA) results for crystalline CrNi2Se at its relaxed geometry.

```
data_CrNi2Se
_chemical_formula_sum 'Cr2 Ni4 Se2'
_symmetry_space_group_name_H-M 'I -4 m 2'
_symmetry_Int_Tables_number 119
_symmetry_space_group_name_Hall 'I -4 -2'
_cell_length_a 4.115
_cell_length_b 4.115
_cell_length_c 5.849
_cell_angle_alpha 90.00
_cell_angle_beta 90.00
_cell_angle_gamma 90.00
loop_
_atom_site_label
_atom_site_fract_x
_atom_site_fract_y
_atom_site_fract_z
Cr1 0.000 0.000 0.000
Ni1 0.000 0.000 0.500
Ni2 0.000 0.500 0.750
Se1 0.000 0.500 0.250
```

Formation energy without anion corrections: 0.762 eV/f.u.
Crystal system: tetragonal
Calculated volume: 12.4 Å³/atom
Total energy: -5.98 eV per atom

---

Entry 10:
DFT (PBE-GGA) results for crystalline CrNiSe3 at its relaxed geometry.

```
data_CrNiSe3
_chemical_formula_sum 'Cr1 Ni1 Se3'
_symmetry_space_group_name_H-M 'P m -3 m'
_symmetry_Int_Tables_number 221
_symmetry_space_group_name_Hall '-P 4 2 3'
_cell_length_a 4.694
_cell_length_b 4.694
_cell_length_c 4.694
_cell_angle_alpha 90.00
_cell_angle_beta 90.00
_cell_angle_gamma 90.00
loop_
_atom_site_label
_atom_site_fract_x
_atom_site_fract_y
_atom_site_fract_z
Cr1 0.000 0.000 0.000
Ni1 0.500 0.500 0.500
Se1 0.000 0.000 0.500
```

Formation energy without anion corrections: 3.262 eV/f.u.
Crystal system: cubic
Calculated volume: 20.7 Å³/atom
Total energy: -4.52 eV per atom

---

Entry 11:
DFT (PBE-GGA) results for crystalline CrNi2Se at its relaxed geometry.

```
data_CrNi2Se
_chemical_formula_sum 'Cr2 Ni4 Se2'
_symmetry_space_group_name_H-M 'C 1 2/m 1'
_symmetry_Int_Tables_number 12
_symmetry_space_group_name_Hall '-C 2y'
_cell_length_a 8.260
_cell_length_b 3.147
_cell_length_c 4.146
_cell_angle_alpha 90.00
_cell_angle_beta 100.98
_cell_angle_gamma 90.00
loop_
_atom_site_label
_atom_site_fract_x
_atom_site_fract_y
_atom_site_fract_z
Cr1 0.000 0.000 0.000
Ni1 0.243 0.500 0.238
Se1 0.000 0.500 0.500
```

Formation energy without anion corrections: 0.608 eV/f.u.
Crystal system: monoclinic
Calculated volume: 13.2 Å³/atom
Total energy: -6.02 eV per atom

---

Entry 12:
DFT (PBE-GGA) results for crystalline CrNiSe at its relaxed geometry.

```
data_CrNiSe
_chemical_formula_sum 'Cr2 Ni2 Se2'
_symmetry_space_group_name_H-M 'I 4 m m'
_symmetry_Int_Tables_number 107
_symmetry_space_group_name_Hall 'I 4 -2'
_cell_length_a 3.382
_cell_length_b 3.382
_cell_length_c 7.556
_cell_angle_alpha 90.00
_cell_angle_beta 90.00
_cell_angle_gamma 90.00
loop_
_atom_site_label
_atom_site_fract_x
_atom_site_fract_y
_atom_site_fract_z
Cr1 0.000 0.000 0.000
Ni1 0.000 0.000 0.348
Se1 0.000 0.000 0.660
```

Formation energy without anion corrections: 0.441 eV/f.u.
Crystal system: tetragonal
Calculated volume: 14.4 Å³/atom
Total energy: -6.15 eV per atom

---

Entry 13:
DFT (PBE-GGA) results for crystalline CrNiSe4 at its relaxed geometry.

```
data_CrNiSe4
_chemical_formula_sum 'Cr2 Ni2 Se8'
_symmetry_space_group_name_H-M 'C 1 2/m 1'
_symmetry_Int_Tables_number 12
_symmetry_space_group_name_Hall '-C 2y'
_cell_length_a 12.661
_cell_length_b 3.556
_cell_length_c 6.137
_cell_angle_alpha 90.00
_cell_angle_beta 118.52
_cell_angle_gamma 90.00
loop_
_atom_site_label
_atom_site_fract_x
_atom_site_fract_y
_atom_site_fract_z
Cr1 0.000 0.000 0.000
Ni1 0.000 0.500 0.500
Se1 0.118 0.000 0.460
Se2 0.124 0.500 0.950
```

Formation energy without anion corrections: -1.947 eV/f.u.
Crystal system: monoclinic
Calculated volume: 20.2 Å³/atom
Total energy: -5.22 eV per atom

---

Entry 14:
DFT (PBE-GGA) results for crystalline CrNi2Se at its relaxed geometry.

```
data_CrNi2Se
_chemical_formula_sum 'Cr1 Ni2 Se1'
_symmetry_space_group_name_H-M 'P 4/m m m'
_symmetry_Int_Tables_number 123
_symmetry_space_group_name_Hall '-P 4 2'
_cell_length_a 2.642
_cell_length_b 2.642
_cell_length_c 7.475
_cell_angle_alpha 90.00
_cell_angle_beta 90.00
_cell_angle_gamma 90.00
loop_
_atom_site_label
_atom_site_fract_x
_atom_site_fract_y
_atom_site_fract_z
Cr1 0.000 0.000 0.000
Ni1 0.500 0.500 0.224
Se1 0.000 0.000 0.500
```

Formation energy without anion corrections: 1.046 eV/f.u.
Crystal system: tetragonal
Calculated volume: 13.0 Å³/atom
Total energy: -5.91 eV per atom